Record 1
{"formula": "BaSr2Li", "functional": "PBE-GGA", "state": "relaxed", "lattice": [[9.290, 0.000, 0.000], [0.000, 9.290, 0.000], [0.000, 0.000, 9.290]], "species": ["Ba", "Ba", "Ba", "Ba", "Sr", "Sr", "Sr", "Sr", "Sr", "Sr", "Sr", "Sr", "Li", "Li", "Li", "Li"], "frac_coords": [[0.000, 0.000, 0.000], [0.000, 0.500, 0.500], [0.500, 0.000, 0.500], [0.500, 0.500, 0.000], [0.000, 0.000, 0.500], [0.000, 0.500, 0.000], [0.250, 0.250, 0.750], [0.250, 0.750, 0.250], [0.500, 0.000, 0.000], [0.500, 0.500, 0.500], [0.750, 0.250, 0.250], [0.750, 0.750, 0.750], [0.250, 0.250, 0.250], [0.250, 0.750, 0.750], [0.750, 0.250, 0.750], [0.750, 0.750, 0.250]], "m_tot_mub_per_fu": 0.0, "mass_density_g_cm3": 2.6, "formation_enthalpy_0k_ev_per_atom": 0.099, "e_above_lowest_polymorph_mev_per_atom": 81}

Record 2
{"formula": "KY2Mn", "functional": "PBE-GGA", "state": "relaxed", "lattice": [[7.925, 0.000, 0.000], [0.000, 7.925, 0.000], [0.000, 0.000, 7.925]], "species": ["K", "K", "K", "K", "Y", "Y", "Y", "Y", "Y", "Y", "Y", "Y", "Mn", "Mn", "Mn", "Mn"], "frac_coords": [[0.000, 0.000, 0.000], [0.000, 0.500, 0.500], [0.500, 0.000, 0.500], [0.500, 0.500, 0.000], [0.000, 0.000, 0.500], [0.000, 0.500, 0.000], [0.250, 0.250, 0.750], [0.250, 0.750, 0.250], [0.500, 0.000, 0.000], [0.500, 0.500, 0.500], [0.750, 0.250, 0.250], [0.750, 0.750, 0.750], [0.250, 0.250, 0.250], [0.250, 0.750, 0.750], [0.750, 0.250, 0.750], [0.750, 0.750, 0.250]], "m_tot_mub_per_fu": 3.7, "mass_density_g_cm3": 3.6, "formation_enthalpy_0k_ev_per_atom": 0.822, "e_above_lowest_polymorph_mev_per_atom": 566}